# NaCrBiF6

A relaxed structure of NaCrBiF6 (PBE+U, the Alexandria database).

Unit cell a=5.9454 b=5.9454 c=9.2235 alpha=90.00 beta=90.00 gamma=120.00
Last column: nearest neighbours and their distance in Å.
Sites, in units of the cell vectors:
Na 0.0000 0.0000 0.0000  6 F 2.43
Na 0.0000 0.0000 0.5000  6 F 2.43
Cr 0.3333 0.6667 0.2500  6 F 2.11
Cr 0.6667 0.3333 0.7500  6 F 2.11
Bi 0.3333 0.6667 0.7500  6 F 2.31
Bi 0.6667 0.3333 0.2500  6 F 2.31
F 0.0256 0.3640 0.1338  1 Cr 2.11, 1 Bi 2.31
F 0.0256 0.6616 0.3662  1 Cr 2.11, 1 Bi 2.31
F 0.3384 0.3640 0.3662  1 Cr 2.11, 1 Bi 2.31
F 0.3384 0.9744 0.1338  1 Cr 2.11, 1 Bi 2.31
F 0.3640 0.0256 0.6338  1 Cr 2.11, 1 Bi 2.31
F 0.3640 0.3384 0.8662  1 Cr 2.11, 1 Bi 2.31
F 0.6360 0.6616 0.1338  1 Cr 2.11, 1 Bi 2.31
F 0.6360 0.9744 0.3662  1 Cr 2.11, 1 Bi 2.31
F 0.6616 0.0256 0.8662  1 Cr 2.11, 1 Bi 2.31
F 0.6616 0.6360 0.6338  1 Cr 2.11, 1 Bi 2.31
F 0.9744 0.3384 0.6338  1 Cr 2.11, 1 Bi 2.31
F 0.9744 0.6360 0.8662  1 Cr 2.11, 1 Bi 2.31

Properties
Calculated total energy ... -5.109 eV/atom